one) AlAgI2N | PBE | optimized geometry

Output
Symmetry   P4/mmm (123)
Magnetization   0.00 μB per cell

a = 5.9005 Å, b = 5.9005 Å, c = 3.5133 Å
α = 90.00°, β = 90.00°, γ = 90.00°
Sites, in units of the cell vectors:
Al1 0.0000 0.0000 0.0000
Ag1 0.5000 0.5000 0.5000
I1 0.0000 0.5000 0.0000
I2 0.5000 0.0000 0.0000
N1 0.0000 0.0000 0.5000

***

two) AlAgI2N | PBE | optimized geometry

Output
Symmetry   P4/mmm (123)
Magnetization   2.17 μB per cell

a = 5.9355 Å, b = 5.9355 Å, c = 4.1515 Å
α = 90.00°, β = 90.00°, γ = 90.00°
Sites, in units of the cell vectors:
Al1 0.0000 0.0000 0.0000
Ag1 0.5000 0.5000 0.5000
I1 0.0000 0.5000 0.5000
I2 0.5000 0.0000 0.5000
N1 0.5000 0.5000 0.0000

***

It is one) that is most stable; the runner-up trails by 0.641 eV/atom.

***

one) Rb2AlAgI6 | PBE | optimized geometry

Output
Symmetry   P1 (1)
Magnetization   0.00 μB per cell

a = 8.4175 Å, b = 8.4180 Å, c = 8.6091 Å
α = 90.08°, β = 119.22°, γ = 119.93°
Sites, in units of the cell vectors:
Rb1 0.0000 0.0000 0.0000
Rb2 0.0057 0.5029 0.5095
Al1 0.4813 0.2404 0.7223
Ag1 0.6349 0.8171 0.4526
I1 0.3740 0.4415 0.4394
I2 0.3890 0.3972 0.9084
I3 0.5064 0.0649 0.4391
I4 0.5105 0.9917 0.9082
I5 0.9158 0.5183 0.9087
I6 0.9974 0.9324 0.4390

***

two) Rb2AlAgI6 | PBE | optimized geometry

Output
Symmetry   Fm-3m (225)
Magnetization   0.00 μB per cell

a = 8.2580 Å, b = 8.2580 Å, c = 8.2580 Å
α = 60.00°, β = 60.00°, γ = 60.00°
Sites, in units of the cell vectors:
Rb1 0.2500 0.2500 0.2500
Rb2 0.7500 0.7500 0.7500
Al1 0.0000 0.0000 0.0000
Ag1 0.5000 0.5000 0.5000
I1 0.2397 0.2397 0.7603
I2 0.2397 0.7603 0.2397
I3 0.2397 0.7603 0.7603
I4 0.7603 0.2397 0.2397
I5 0.7603 0.2397 0.7603
I6 0.7603 0.7603 0.2397

***

It is one) that is most stable; the runner-up trails by 0.027 eV/atom.

***

one) AlAgSbI2 | PBE | optimized geometry

Output
Symmetry   P4/mmm (123)
Magnetization   0.79 μB per cell

a = 5.5705 Å, b = 5.5705 Å, c = 5.4368 Å
α = 90.00°, β = 90.00°, γ = 90.00°
Sites, in units of the cell vectors:
Al1 0.0000 0.0000 0.0000
Ag1 0.5000 0.5000 0.5000
Sb1 0.0000 0.0000 0.5000
I1 0.0000 0.5000 0.0000
I2 0.5000 0.0000 0.0000

***

two) AlAgSbI2 | PBE | optimized geometry

Output
Symmetry   P4/mmm (123)
Magnetization   1.45 μB per cell

a = 5.8557 Å, b = 5.8557 Å, c = 5.3792 Å
α = 90.00°, β = 90.00°, γ = 90.00°
Sites, in units of the cell vectors:
Al1 0.0000 0.0000 0.0000
Ag1 0.5000 0.5000 0.5000
Sb1 0.5000 0.5000 0.0000
I1 0.0000 0.5000 0.5000
I2 0.5000 0.0000 0.5000

***

It is one) that is most stable; the runner-up trails by 0.089 eV/atom.

***

one) AlAgSb2I | PBE | optimized geometry

Output
Symmetry   P4/mmm (123)
Magnetization   0.39 μB per cell

a = 5.3149 Å, b = 5.3149 Å, c = 5.5978 Å
α = 90.00°, β = 90.00°, γ = 90.00°
Sites, in units of the cell vectors:
Al1 0.0000 0.0000 0.0000
Ag1 0.5000 0.5000 0.5000
Sb1 0.0000 0.5000 0.0000
Sb2 0.5000 0.0000 0.0000
I1 0.0000 0.0000 0.5000

***

two) AlAgSb2I | PBE | optimized geometry

Output
Symmetry   P4/mmm (123)
Magnetization   1.12 μB per cell

a = 5.3462 Å, b = 5.3462 Å, c = 6.0375 Å
α = 90.00°, β = 90.00°, γ = 90.00°
Sites, in units of the cell vectors:
Al1 0.0000 0.0000 0.0000
Ag1 0.5000 0.5000 0.5000
Sb1 0.0000 0.5000 0.5000
Sb2 0.5000 0.0000 0.5000
I1 0.5000 0.5000 0.0000

***

It is one) that is most stable; the runner-up trails by 0.114 eV/atom.